5
Lattice="-0.3140 -0.3487 -4.6369 3.5101 -3.0659 -0.0071 -3.0498 -3.4928 0.4692" Properties=species:S:1:pos:R:3 comment="KBe3W | Alexandria | PBE | optimized geometry" relative_energy_mev_per_atom=0 pbc="T T T"
W 0.0000 0.0000 0.0000
Be -1.5249 -1.7464 0.2346
K 0.0732 -3.4537 -2.0874
Be -0.1570 -0.1744 -2.3184
Be 1.7551 -1.5329 -0.0036

4
Lattice="-0.8379 2.5065 -1.6934 -2.9852 -0.4014 0.8829 1.1177 4.2244 5.6996" Properties=species:S:1:pos:R:3 comment="KBe2W | Alexandria | PBE | optimized geometry" relative_energy_mev_per_atom=0 pbc="T T T"
Be 0.6794 2.5676 3.4642
Be 0.9972 3.7690 5.0852
K -1.6321 2.1086 1.0197
W -1.0732 4.2208 3.8695

Ordered electronic total energy results: -3.73, -4.76; unit eV per atom.
Ordered calculated formation energy results: 6.56, 2.48; unit eV/f.u..
Ordered volume results: 20.25, 17.69; unit Å³ per atom.